The following is a PBE calculation of CaLaGa after structural relaxation, from Alexandria.

CIF file:
```
data_CaLaGa
_chemical_formula_sum 'Ca2 La2 Ga2'
_cell_length_a 3.5429
_cell_length_b 7.4523
_cell_length_c 7.7148
_cell_angle_alpha 65.97
_cell_angle_beta 89.90
_cell_angle_gamma 76.26
_space_group_name_H-M_alt 'P 1'
_space_group_IT_number 1
loop_
_space_group_symop_operation_xyz
'x,y,z'
loop_
_atom_site_label
_atom_site_fract_x
_atom_site_fract_y
_atom_site_fract_z
Ca1 0.0000 0.0000 0.0000
Ca2 0.2516 0.4884 0.0015
La1 0.1834 0.6357 0.5062
La2 0.8634 0.2704 0.5016
Ga1 0.4811 0.0388 0.3188
Ga2 0.5682 0.8612 0.7142
```

Computed properties:
**ΔE_f**: -0.2449 eV/atom

The following is a PBE calculation of BaEuBr2 after structural relaxation, from Alexandria.

CIF file:
```
data_BaEuBr2
_chemical_formula_sum 'Ba3 Eu3 Br6'
_cell_length_a 4.5414
_cell_length_b 4.5414
_cell_length_c 29.9586
_cell_angle_alpha 90.00
_cell_angle_beta 90.00
_cell_angle_gamma 120.00
_space_group_name_H-M_alt 'R -3 m'
_space_group_IT_number 166
_space_group_name_Hall '-R 3 2"'
loop_
_atom_site_label
_atom_site_fract_x
_atom_site_fract_y
_atom_site_fract_z
Ba1 0.0000 0.0000 0.0000
Eu1 0.0000 0.0000 0.5000
Br1 0.0000 0.0000 0.1127
```

Computed properties:
**Formation energy (no corrections)**: -1416 meV per atom

The following is a PBE calculation of La6InGe2I3 after structural relaxation, from Alexandria.

CIF file:
```
data_La6InGe2I3
_chemical_formula_sum 'La12 In2 Ge4 I6'
_cell_length_a 20.1865
_cell_length_b 4.4851
_cell_length_c 9.3979
_cell_angle_alpha 90.00
_cell_angle_beta 104.42
_cell_angle_gamma 90.00
_space_group_name_H-M_alt 'C 1 2/m 1'
_space_group_IT_number 12
loop_
_space_group_symop_operation_xyz
'x,y,z'
'-x,-y,-z'
'-x,y,-z'
'x,-y,z'
'x+1/2,y+1/2,z'
'-x+1/2,-y+1/2,-z'
'-x+1/2,y+1/2,-z'
'x+1/2,-y+1/2,z'
loop_
_atom_site_label
_atom_site_fract_x
_atom_site_fract_y
_atom_site_fract_z
La1 0.0129 0.0000 0.2472
La2 0.1640 0.5000 0.1186
La3 0.1770 0.5000 0.5612
In1 0.0000 0.5000 0.0000
Ge1 0.1682 0.0000 0.3380
I1 0.0000 0.5000 0.5000
I2 0.1644 0.0000 0.8337
```

Computed properties:
**Formation energy (no corrections)**: -965 meV per atom

no.,Fermi-level density of states (states/eV per cell)
1,3.78
2,6.86
3,13.59